<A>
Material: Nd2YAl
Method: DFT, PBE
State: relaxed

a b c (Å): 10.9000 10.9000 10.9000
angles (deg): 19.49 19.49 19.49
Closest atoms and distances in Å follow each position.
Fractional positions:
Nd1 0.0000 0.0000 0.0000  3 Al 3.16
Nd2 0.1880 0.1880 0.1880  3 Al 3.15
Y1 0.4274 0.4274 0.4274  6 Nd 3.69, 6 Y 3.69
Al1 0.5937 0.5937 0.5937  6 Nd 3.15-3.16

Results
For the density of states at the Fermi level, the calculation gives 5.0 states/eV/f.u. Its space group is R3m, No. 160. The value obtained for the magnetic moment is 0.72 μB per cell.

<B>
Material: Nd2YAl
Method: DFT, PBE
State: relaxed

a b c (Å): 6.0363 6.0363 6.0363
angles (deg): 133.27 133.27 68.23
Closest atoms and distances in Å follow each position.
Fractional positions:
Nd1 0.2500 0.7500 0.5000  4 Nd 3.39, 4 Al 3.46, 4 Y 3.46
Nd2 0.7500 0.2500 0.5000  4 Nd 3.39, 4 Al 3.46, 4 Y 3.46
Y1 0.0000 0.0000 0.0000  4 Al 3.39, 8 Nd 3.46
Al1 0.5000 0.5000 0.0000  4 Y 3.39, 8 Nd 3.46

Results
For the density of states at the Fermi level, the calculation gives 4.8 states/eV/f.u. Its space group is I4/mmm, No. 139. The value obtained for the magnetic moment is 0.00 μB per cell.

Verdict on stability: <A> comes out at the bottom.

<A>
Material: NdY2Al2
Method: DFT, PBE
State: relaxed

a b c (Å): 8.5102 8.5102 3.7075
angles (deg): 90.00 90.00 90.00
Closest atoms and distances in Å follow each position.
Fractional positions:
Nd1 0.0000 0.0000 0.0000  4 Al 3.42, 8 Y 3.64, 2 Nd 3.71
Nd2 0.5000 0.5000 0.0000  4 Al 3.42, 8 Y 3.64, 2 Nd 3.71
Y1 0.1784 0.3216 0.5000  6 Al 3.10-3.16
Y2 0.3216 0.8216 0.5000  6 Al 3.10-3.16
Y3 0.6784 0.1784 0.5000  6 Al 3.10-3.16
Y4 0.8216 0.6784 0.5000  6 Al 3.10-3.16
Al1 0.1150 0.6150 0.0000  1 Al 2.77
Al2 0.3850 0.1150 0.0000  1 Al 2.77
Al3 0.6150 0.8850 0.0000  1 Al 2.77
Al4 0.8850 0.3850 0.0000  1 Al 2.77

Results
For the density of states at the Fermi level, the calculation gives 6.9 states/eV/f.u. Its space group is P4/mbm, No. 127. The value obtained for the magnetic moment is 0.00 μB per cell.

<B>
Material: NdY2Al2
Method: DFT, PBE
State: relaxed

a b c (Å): 5.6416 3.7986 13.2381
angles (deg): 90.00 96.61 90.00
Closest atoms and distances in Å follow each position.
Fractional positions:
Nd1 0.1791 0.2500 0.2319  2 Al 3.20, 2 Y 3.58
Nd2 0.8209 0.7500 0.7681  2 Al 3.20, 2 Y 3.58
Y1 0.2399 0.7500 0.4629  4 Al 3.18-3.24, 4 Y 3.54
Y2 0.3503 0.2500 0.8901  5 Al 2.91-3.06
Y3 0.6497 0.7500 0.1099  5 Al 2.91-3.06
Y4 0.7601 0.2500 0.5371  4 Al 3.18-3.24, 4 Y 3.54
Al1 0.1432 0.7500 0.0363  2 Al 2.60, 1 Y 2.91
Al2 0.2932 0.2500 0.6573  5 Y 3.06-3.24
Al3 0.7068 0.7500 0.3427  5 Y 3.06-3.24
Al4 0.8568 0.2500 0.9637  2 Al 2.60, 1 Y 2.91

Results
For the density of states at the Fermi level, the calculation gives 5.2 states/eV/f.u. Its space group is P2_1/m, No. 11. The value obtained for the magnetic moment is 0.00 μB per cell.

Verdict on stability: <B> comes out at the bottom.

<A>
Material: Nd2YAl2
Method: DFT, PBE
State: relaxed

a b c (Å): 6.6443 6.6443 6.2487
angles (deg): 99.92 99.92 31.28
Closest atoms and distances in Å follow each position.
Fractional positions:
Nd1 0.1322 0.1322 0.0708  4 Al 3.16-3.33, 1 Nd 3.34
Nd2 0.8678 0.8678 0.9292  4 Al 3.16-3.33, 1 Nd 3.34
Y1 0.5000 0.5000 0.5000  4 Al 3.11
Al1 0.2010 0.2010 0.6098  2 Al 2.70
Al2 0.7990 0.7990 0.3902  2 Al 2.70

Results
For the density of states at the Fermi level, the calculation gives 4.9 states/eV/f.u. Its space group is C2/m, No. 12. The value obtained for the magnetic moment is 0.00 μB per cell.

<B>
Material: Nd2YAl2
Method: DFT, PBE
State: relaxed

a b c (Å): 5.8493 5.8493 5.8493
angles (deg): 129.94 108.48 92.35
Closest atoms and distances in Å follow each position.
Fractional positions:
Nd1 0.1969 0.1969 0.0000  1 Nd 3.19, 6 Al 3.21-3.24, 2 Y 3.49
Nd2 0.8031 0.8031 0.0000  1 Nd 3.19, 6 Al 3.21-3.24, 2 Y 3.49
Y1 0.5000 0.0000 0.5000  4 Al 3.22, 4 Nd 3.49
Al1 0.1977 0.5000 0.6977  1 Al 2.70
Al2 0.8023 0.5000 0.3023  1 Al 2.70

Results
For the density of states at the Fermi level, the calculation gives 4.4 states/eV/f.u. Its space group is Immm, No. 71. The value obtained for the magnetic moment is 0.00 μB per cell.

Verdict on stability: <A> comes out at the bottom.

<A>
Material: NdAl2Zn9
Method: DFT, PBE
State: relaxed

a b c (Å): 8.6474 8.6474 3.2929
angles (deg): 90.00 90.00 120.00
Closest atoms and distances in Å follow each position.
Fractional positions:
Nd1 0.0000 0.0000 0.0000  12 Zn 3.22, 2 Nd 3.29
Al1 0.3333 0.6667 0.0000  9 Zn 2.50-2.77
Al2 0.6667 0.3333 0.0000  9 Zn 2.50-2.77
Zn1 0.0000 0.5000 0.0000  2 Al 2.50
Zn2 0.1849 0.3697 0.5000  2 Al 2.77, 6 Zn 2.77-2.89
Zn3 0.1849 0.8151 0.5000  2 Al 2.77, 6 Zn 2.77-2.89
Zn4 0.3697 0.1849 0.5000  2 Al 2.77, 6 Zn 2.77-2.89
Zn5 0.5000 0.0000 0.0000  2 Al 2.50
Zn6 0.5000 0.5000 0.0000  2 Al 2.50
Zn7 0.6303 0.8151 0.5000  2 Al 2.77, 6 Zn 2.77-2.89
Zn8 0.8151 0.1849 0.5000  2 Al 2.77, 6 Zn 2.77-2.89
Zn9 0.8151 0.6303 0.5000  2 Al 2.77, 6 Zn 2.77-2.89

Results
For the density of states at the Fermi level, the calculation gives 3.2 states/eV/f.u. Its space group is P6/mmm, No. 191. The value obtained for the magnetic moment is 0.00 μB per cell.

<B>
Material: NdAl2Zn9
Method: DFT, PBE
State: relaxed

a b c (Å): 8.2993 8.2993 8.2993
angles (deg): 100.38 100.38 129.75
Closest atoms and distances in Å follow each position.
Fractional positions:
Nd1 0.3750 0.6250 0.7500  18 Zn 3.30-3.52
Nd2 0.6250 0.3750 0.2500  18 Zn 3.30-3.52
Al1 0.0000 0.0000 0.0000  10 Zn 2.63-2.80
Al2 0.0000 0.0000 0.5000  10 Zn 2.63-2.80
Al3 0.0000 0.5000 0.0000  10 Zn 2.63-2.80
Al4 0.5000 0.0000 0.5000  10 Zn 2.63-2.80
Zn1 0.1250 0.8750 0.2500  4 Al 2.80, 8 Zn 2.91
Zn2 0.1292 0.5524 0.3344  5 Zn 2.58-2.70, 2 Al 2.63-2.68
Zn3 0.1292 0.7949 0.5769  5 Zn 2.58-2.70, 2 Al 2.63-2.68
Zn4 0.2051 0.2820 0.3344  5 Zn 2.58-2.70, 2 Al 2.63-2.68
Zn5 0.2051 0.8708 0.9231  5 Zn 2.58-2.70, 2 Al 2.63-2.68
Zn6 0.2820 0.2051 0.8344  5 Zn 2.58-2.70, 2 Al 2.63-2.68
Zn7 0.2820 0.4476 0.0769  5 Zn 2.58-2.70, 2 Al 2.63-2.68
Zn8 0.4476 0.2820 0.5769  5 Zn 2.58-2.70, 2 Al 2.63-2.68
Zn9 0.4476 0.8708 0.1656  5 Zn 2.58-2.70, 2 Al 2.63-2.68
Zn10 0.5524 0.1292 0.8344  5 Zn 2.58-2.70, 2 Al 2.63-2.68
Zn11 0.5524 0.7180 0.4231  5 Zn 2.58-2.70, 2 Al 2.63-2.68
Zn12 0.7180 0.5524 0.9231  5 Zn 2.58-2.70, 2 Al 2.63-2.68
Zn13 0.7180 0.7949 0.1656  5 Zn 2.58-2.70, 2 Al 2.63-2.68
Zn14 0.7949 0.1292 0.0769  5 Zn 2.58-2.70, 2 Al 2.63-2.68
Zn15 0.7949 0.7180 0.6656  5 Zn 2.58-2.70, 2 Al 2.63-2.68
Zn16 0.8708 0.2051 0.4231  5 Zn 2.58-2.70, 2 Al 2.63-2.68
Zn17 0.8708 0.4476 0.6656  5 Zn 2.58-2.70, 2 Al 2.63-2.68
Zn18 0.8750 0.1250 0.7500  4 Al 2.80, 8 Zn 2.91

Results
For the density of states at the Fermi level, the calculation gives 3.4 states/eV/f.u. Its space group is I4_1/amd, No. 141. The value obtained for the magnetic moment is 0.00 μB per cell.

Verdict on stability: <A> comes out at the bottom.

<A>
Material: Nd3AlZn
Method: DFT, PBE
State: relaxed

a b c (Å): 7.6515 7.6515 9.5774
angles (deg): 90.01 90.01 95.42
Closest atoms and distances in Å follow each position.
Fractional positions:
Nd1 0.0493 0.8089 0.9218  2 Al 3.14-3.23, 2 Zn 3.28-3.39, 2 Nd 3.30-3.43
Nd2 0.0590 0.4411 0.6478  2 Al 2.91, 1 Nd 3.13, 2 Zn 3.17-3.18
Nd3 0.1911 0.9507 0.5782  2 Al 3.14-3.23, 2 Zn 3.28-3.39, 2 Nd 3.30-3.43
Nd4 0.3076 0.5476 0.0780  2 Al 3.14-3.23, 2 Zn 3.27-3.39, 2 Nd 3.30-3.44
Nd5 0.4411 0.0590 0.1478  2 Al 2.91, 1 Nd 3.13, 2 Zn 3.17-3.18
Nd6 0.4524 0.6924 0.4220  2 Al 3.14-3.23, 2 Zn 3.27-3.39, 2 Nd 3.30-3.44
Nd7 0.5476 0.3076 0.5780  2 Al 3.14-3.23, 2 Zn 3.27-3.39, 2 Nd 3.30-3.44
Nd8 0.5589 0.9410 0.8522  2 Al 2.91, 1 Nd 3.13, 2 Zn 3.17-3.18
Nd9 0.6924 0.4524 0.9220  2 Al 3.14-3.23, 2 Zn 3.27-3.39, 2 Nd 3.30-3.44
Nd10 0.8089 0.0493 0.4218  2 Al 3.14-3.23, 2 Zn 3.28-3.39, 2 Nd 3.30-3.43
Nd11 0.9410 0.5589 0.3522  2 Al 2.91, 1 Nd 3.13, 2 Zn 3.17-3.18
Nd12 0.9507 0.1911 0.0782  2 Al 3.14-3.23, 2 Zn 3.28-3.39, 2 Nd 3.30-3.43
Al1 0.1072 0.8928 0.2500  6 Nd 2.91-3.23, 2 Zn 3.15
Al2 0.3932 0.6068 0.7500  6 Nd 2.91-3.23, 2 Zn 3.16
Al3 0.6068 0.3932 0.2500  6 Nd 2.91-3.23, 2 Zn 3.16
Al4 0.8928 0.1072 0.7500  6 Nd 2.91-3.23, 2 Zn 3.15
Zn1 0.2217 0.2771 0.3552  2 Al 3.15-3.16, 8 Nd 3.17-3.52
Zn2 0.2771 0.2217 0.8552  2 Al 3.15-3.16, 8 Nd 3.17-3.52
Zn3 0.7229 0.7783 0.1448  2 Al 3.15-3.16, 8 Nd 3.17-3.52
Zn4 0.7783 0.7229 0.6448  2 Al 3.15-3.16, 8 Nd 3.17-3.52

Results
For the density of states at the Fermi level, the calculation gives 4.2 states/eV/f.u. Its space group is C2/c, No. 15. The value obtained for the magnetic moment is 0.00 μB per cell.

<B>
Material: Nd3AlZn
Method: DFT, PBE
State: relaxed

a b c (Å): 10.3042 10.3042 5.2807
angles (deg): 90.00 90.00 150.32
Closest atoms and distances in Å follow each position.
Fractional positions:
Nd1 0.0653 0.9347 0.7500  2 Zn 3.22, 2 Al 3.23
Nd2 0.2481 0.7519 0.7500  4 Al 3.19-3.23, 4 Zn 3.19-3.24
Nd3 0.4297 0.5703 0.7500  2 Zn 3.17, 2 Al 3.17
Nd4 0.5703 0.4297 0.2500  2 Zn 3.17, 2 Al 3.17
Nd5 0.7519 0.2481 0.2500  4 Al 3.19-3.23, 4 Zn 3.19-3.24
Nd6 0.9347 0.0653 0.2500  2 Zn 3.22, 2 Al 3.23
Al1 0.1583 0.8417 0.2500  8 Nd 3.17-3.23
Al2 0.8417 0.1583 0.7500  8 Nd 3.17-3.23
Zn1 0.3421 0.6579 0.2500  8 Nd 3.17-3.24
Zn2 0.6579 0.3421 0.7500  8 Nd 3.17-3.24

Results
For the density of states at the Fermi level, the calculation gives 5.3 states/eV/f.u. Its space group is Cmcm, No. 63. The value obtained for the magnetic moment is 0.00 μB per cell.

Verdict on stability: <A> comes out at the bottom.